## i
Compound: LiBe2F
Source: Alexandria via LeMat-Bulk
Functional: PBE
Structure: relaxed

Output
DOS at the Fermi energy ... 8.44 states/eV/cell
Mass density ... 1.4 g cm⁻³

Cell: 5.9084 5.9084 5.9084 Å, 90.00 90.00 90.00°
Space group Fm-3m (No. 225)
Unique sites:
Li (0.0000, 0.0000, 0.0000)
Be (0.2500, 0.2500, 0.2500)
F (0.0000, 0.0000, 0.5000)



## ii
Compound: LiBe2F
Source: Alexandria via LeMat-Bulk
Functional: PBE
Structure: relaxed

Output
DOS at the Fermi energy ... 1.66 states/eV/cell
Mass density ... 1.7 g cm⁻³

Cell: 6.4637 6.4637 4.0918 Å, 90.00 90.00 90.00°
Space group I-42d (No. 122)
Unique sites:
Li (0.0000, 0.0000, 0.0000)
Be (0.1852, 0.7500, 0.6250)
F (0.0000, 0.0000, 0.5000)



ii is favored, and the nearest alternative lies 849 meV/atom above it.



## i
Compound: Li2BeF5
Source: Alexandria via LeMat-Bulk
Functional: PBE
Structure: relaxed

Output
DOS at the Fermi energy ... 29.00 states/eV/cell
Mass density ... 2.0 g cm⁻³

Cell: 8.0526 8.1672 5.9362 Å, 90.00 90.00 90.00°
Space group Pnnm (No. 58)
Unique sites:
Li (0.0000, 0.0000, 0.2233)
Li (0.1334, 0.3795, 0.5000)
Be (0.2437, 0.2484, 0.0000)
F (0.0773, 0.0981, 0.5000)
F (0.0823, 0.1447, 0.0000)
F (0.1076, 0.6227, 0.5000)
F (0.2444, 0.8519, 0.2775)



## ii
Compound: Li2BeF5
Source: Alexandria via LeMat-Bulk
Functional: PBE
Structure: relaxed

Output
DOS at the Fermi energy ... 13.25 states/eV/cell
Mass density ... 2.4 g cm⁻³

Cell: 3.7456 9.6615 9.1773 Å, 90.00 90.00 90.00°
Space group Cmcm (No. 63)
Unique sites:
Li (0.0000, 0.1729, 0.0824)
Be (0.0000, 0.1649, 0.7500)
F (0.0000, 0.0186, 0.6363)
F (0.0000, 0.2722, 0.6079)
F (0.0000, 0.3189, 0.2500)



i is favored, and the nearest alternative lies 101 meV/atom above it.



## i
Compound: Li2BeF4
Source: Alexandria via LeMat-Bulk
Functional: PBE
Structure: relaxed

Output
DOS at the Fermi energy ... 0.00 states/eV/cell
Mass density ... 2.4 g cm⁻³

Cell: 5.8599 9.0760 5.9734 Å, 90.00 119.26 90.00°
Space group C2/c (No. 15)
Unique sites:
Li (0.0000, 0.0736, 0.2500)
Li (0.0000, 0.3260, 0.7500)
Be (0.0000, 0.3750, 0.2500)
F (0.0659, 0.2677, 0.0851)
F (0.2322, 0.4830, 0.4095)



## ii
Compound: Li2BeF4
Source: Alexandria via LeMat-Bulk
Functional: PBE
Structure: relaxed

Output
DOS at the Fermi energy ... 0.00 states/eV/cell
Mass density ... 2.1 g cm⁻³

Cell: 4.6148 4.6148 7.4493 Å, 90.00 90.00 90.00°
Space group I-42m (No. 121)
Unique sites:
Li (0.0000, 0.5000, 0.2500)
Be (0.0000, 0.0000, 0.0000)
F (0.1947, 0.1947, 0.1223)



## iii
Compound: Li2BeF4
Source: Alexandria via LeMat-Bulk
Functional: PBE
Structure: relaxed

Output
DOS at the Fermi energy ... 0.00 states/eV/cell
Mass density ... 2.1 g cm⁻³

Cell: 13.5220 13.5220 9.0207 Å, 90.00 90.00 120.00°
Space group R-3 (No. 148, hexagonal axes)
Unique sites:
Li (0.0149, 0.8084, 0.0852)
Li (0.0206, 0.8064, 0.4187)
Be (0.0142, 0.8042, 0.7507)
F (0.0056, 0.6836, 0.7508)
F (0.0738, 0.8706, 0.8956)
F (0.0807, 0.8727, 0.6084)
F (0.1051, 0.8893, 0.2517)



iii is favored, and the nearest alternative lies 16 meV/atom above it.